The following is a DFT calculation (GGA-PBE) of a geometry-optimized CaIrI structure.

a b c (Å): 5.1103 5.1103 6.0545
angles (deg): 90.00 90.00 90.00
With the nearest neighbours (Å) after each atom.
Positions (direct):
I 0.5000 0.5000 0.5000  4 Ir 2.74
Ir 0.5000 0.0000 0.6644  4 I 2.74, 1 Ca 2.86
I 0.0000 0.0000 0.5000  4 Ir 2.74
Ir 0.0000 0.5000 0.3356  4 I 2.74, 1 Ca 2.86
Ca 0.0000 0.5000 0.8634  2 Ir 2.86-3.20
Ca 0.5000 0.0000 0.1366  2 Ir 2.86-3.20

* energy above the most stable polymorph in this dataset: 0.989 eV per atom
* volume: 26.35 Å³ per atom
* symmetry: P4/nmm